Record 1
Below is an optimized crystal structure of YZn3Cu, with properties calculated at the PBE level.

Cell lengths 6.1862, 6.1864, 5.6951 Å; angles 90.00, 90.00, 54.57 degrees
With the nearest neighbours (Å) after each atom.
Atoms (fractional coordinates):
1 Y 0.0329 0.2355 0.0524  4 Cu 3.06-3.09, 12 Zn 3.09-3.41
2 Y 0.5277 0.7302 0.5524  4 Cu 3.06-3.09, 12 Zn 3.09-3.41
3 Zn 0.1418 0.3444 0.5524  1 Cu 2.41, 4 Zn 2.56
4 Zn 0.4188 0.6213 0.0524  1 Cu 2.41, 4 Zn 2.56
5 Zn 0.5411 0.2220 0.8024  2 Cu 2.52, 3 Zn 2.56-2.71
6 Zn 0.5411 0.2221 0.3024  2 Cu 2.52, 3 Zn 2.56-2.71
7 Zn 0.0195 0.7436 0.3024  2 Cu 2.52, 3 Zn 2.56-2.71
8 Zn 0.0195 0.7436 0.8024  2 Cu 2.52, 3 Zn 2.56-2.71
9 Cu 0.9229 0.1254 0.5524  5 Zn 2.41-2.52
10 Cu 0.6377 0.8403 0.0524  5 Zn 2.41-2.52

## Properties
For the formation energy from the elements, the calculation gives -0.282 eV/atom. Its crystal system is orthorhombic. The calculation puts the density of states at the Fermi level at 0.5025 states/eV per atom. Its space-group type is No. 63.

***

Record 2
Below is an optimized crystal structure of PrZn3Ag3, with properties calculated at the PBE level.

Cell lengths 4.8182, 7.9893, 7.9905 Å; angles 120.00, 90.00, 90.00 degrees
With the nearest neighbours (Å) after each atom.
Atoms (fractional coordinates):
1 Pr 0.7500 0.3334 0.6667  9 Zn 2.96-3.02, 3 Ag 3.23
2 Pr 0.2500 0.6666 0.3333  9 Zn 2.96-3.02, 3 Ag 3.23
3 Zn 0.7500 0.9142 0.3820  4 Ag 2.66-2.97, 2 Zn 2.94, 1 Pr 2.96
4 Zn 0.7500 0.4676 0.0857  4 Ag 2.66-2.97, 2 Zn 2.94, 1 Pr 2.96
5 Zn 0.7500 0.6182 0.5323  4 Ag 2.66-2.97, 2 Zn 2.94, 1 Pr 2.96
6 Zn 0.2500 0.0858 0.6180  4 Ag 2.66-2.97, 2 Zn 2.94, 1 Pr 2.96
7 Zn 0.2500 0.5324 0.9143  4 Ag 2.66-2.97, 2 Zn 2.94, 1 Pr 2.96
8 Zn 0.2500 0.3818 0.4677  4 Ag 2.66-2.97, 2 Zn 2.94, 1 Pr 2.96
9 Ag 0.7500 0.7809 0.0034  4 Zn 2.66-2.97
10 Ag 0.7500 0.2225 0.2192  4 Zn 2.66-2.97
11 Ag 0.7500 0.9967 0.7776  4 Zn 2.66-2.97
12 Ag 0.2500 0.2191 0.9966  4 Zn 2.66-2.97
13 Ag 0.2500 0.7775 0.7808  4 Zn 2.66-2.97
14 Ag 0.2500 0.0033 0.2224  4 Zn 2.66-2.97

## Properties
For the formation energy from the elements, the calculation gives -0.088 eV/atom. Its crystal system is hexagonal. The calculation puts the density of states at the Fermi level at 0.4485 states/eV per atom. Its space-group type is No. 176.

***

Record 3
Below is an optimized crystal structure of PuPaOsPt, with properties calculated at the PBE level.

Cell lengths 4.8986, 4.8986, 4.8986 Å; angles 60.00, 60.00, 60.00 degrees
With the nearest neighbours (Å) after each atom.
Atoms (fractional coordinates):
1 Pa 0.5000 0.5000 0.5000  4 Os 3.00, 4 Pt 3.00
2 Os 0.2500 0.2500 0.2500  4 Pu 3.00, 4 Pa 3.00
3 Pt 0.7500 0.7500 0.7500  4 Pu 3.00, 4 Pa 3.00
4 Pu 0.0000 0.0000 0.0000  4 Pt 3.00, 4 Os 3.00

## Properties
For the formation energy from the elements, the calculation gives -0.409 eV/atom. Its crystal system is cubic. The calculation puts the density of states at the Fermi level at 2.1928 states/eV per atom. Its space-group type is No. 216.

***

Record 4
Below is an optimized crystal structure of TlIn2RePt, with properties calculated at the PBE level.

Cell lengths 5.5315, 5.0758, 5.5315 Å; angles 90.00, 90.00, 90.00 degrees
With the nearest neighbours (Å) after each atom.
Atoms (fractional coordinates):
1 Re 0.5000 0.5000 0.5000  8 In 3.75, 4 Pt 3.91
2 Tl 0.0000 0.0000 0.0000  2 Pt 2.54, 4 In 2.77
3 Pt 0.0000 0.5000 0.0000  2 Tl 2.54
4 In 0.0000 0.0000 0.5000  2 Tl 2.77
5 In 0.5000 0.0000 0.0000  2 Tl 2.77

## Properties
For the formation energy from the elements, the calculation gives 1.758 eV/atom. Its crystal system is tetragonal. The calculation puts the density of states at the Fermi level at 0.5674 states/eV per atom. Its space-group type is No. 123.

***

Record 5
Below is an optimized crystal structure of AcNiN, with properties calculated at the PBE level.

Cell lengths 3.8749, 3.8749, 3.6581 Å; angles 90.00, 90.00, 90.00 degrees
With the nearest neighbours (Å) after each atom.
Atoms (fractional coordinates):
1 Ac 0.0000 0.0000 0.0000  4 N 2.74
2 Ni 0.5000 0.5000 0.5000  2 N 1.83
3 N 0.5000 0.5000 0.0000  2 Ni 1.83

## Properties
Its crystal system is tetragonal. The calculation puts the density of states at the Fermi level at 0.8693 states/eV per atom. Its space-group type is No. 123. As for the uncorrected formation energy: -0.7260 eV/atom.

***

Record 6
Below is an optimized crystal structure of HgAuBr2, with properties calculated at the PBE level.

Cell lengths 4.5506, 4.5506, 9.2294 Å; angles 90.00, 90.00, 130.03 degrees
With the nearest neighbours (Å) after each atom.
Atoms (fractional coordinates):
1 Au 0.5000 0.5000 0.7341  2 Br 2.61, 2 Hg 2.73
2 Hg 0.0000 0.0000 0.5239  2 Br 2.71, 2 Au 2.73
3 Br 0.0000 0.0000 0.9255  2 Au 2.61
4 Br 0.5000 0.5000 0.3165  2 Hg 2.71

## Properties
Its crystal system is orthorhombic. The calculation puts the density of states at the Fermi level at 0.2903 states/eV per atom. Its space-group type is No. 35. As for the uncorrected formation energy: -0.0901 eV/atom.

***

Record 7
Below is an optimized crystal structure of Th2CrSe, with properties calculated at the PBE level.

Cell lengths 3.5255, 3.5255, 10.4366 Å; angles 80.28, 80.28, 60.00 degrees
With the nearest neighbours (Å) after each atom.
Atoms (fractional coordinates):
1 Cr 0.0000 0.0000 0.0000  2 Th 2.89
2 Se 0.5000 0.5000 0.5000  6 Th 3.02
3 Th 0.0942 0.0942 0.7175  1 Cr 2.89, 3 Se 3.02
4 Th 0.9058 0.9058 0.2825  1 Cr 2.89, 3 Se 3.02

## Properties
Its crystal system is trigonal. The calculation puts the density of states at the Fermi level at 0.9324 states/eV per atom. Its space-group type is No. 166. As for the uncorrected formation energy: 0.0938 eV/atom.

***

Record 8
Below is an optimized crystal structure of PrBiP, with properties calculated at the PBE level.

Cell lengths 4.1018, 4.1018, 11.7810 Å; angles 100.03, 100.03, 90.00 degrees
With the nearest neighbours (Å) after each atom.
Atoms (fractional coordinates):
1 Bi 0.0793 0.0793 0.1586  1 P 2.63
2 Bi 0.9207 0.9207 0.8414  1 P 2.63
3 Pr 0.6783 0.6783 0.3565  5 P 2.91-2.92
4 Pr 0.3217 0.3217 0.6435  5 P 2.91-2.92
5 P 0.8055 0.8055 0.6110  1 Bi 2.63, 5 Pr 2.91-2.92
6 P 0.1945 0.1945 0.3890  1 Bi 2.63, 5 Pr 2.91-2.92

## Properties
For the formation energy from the elements, the calculation gives -0.779 eV/atom. Its crystal system is tetragonal. The calculation puts the density of states at the Fermi level at 0.2951 states/eV per atom. Its space-group type is No. 139.

***

Record 9
Below is an optimized crystal structure of HfZrGaRh, with properties calculated at the PBE level.

Cell lengths 4.7046, 4.7046, 4.7046 Å; angles 60.00, 60.00, 60.00 degrees
With the nearest neighbours (Å) after each atom.
Atoms (fractional coordinates):
1 Rh 0.7500 0.7500 0.7500  4 Zr 2.88, 4 Hf 2.88
2 Hf 0.5000 0.5000 0.5000  4 Ga 2.88, 4 Rh 2.88
3 Ga 0.2500 0.2500 0.2500  4 Hf 2.88, 4 Zr 2.88
4 Zr 0.0000 0.0000 0.0000  4 Rh 2.88, 4 Ga 2.88

## Properties
For the formation energy from the elements, the calculation gives -0.522 eV/atom. Its crystal system is cubic. The calculation puts the density of states at the Fermi level at 1.0692 states/eV per atom. Its space-group type is No. 216.

***

Record 10
Below is an optimized crystal structure of K2TaInSe5, with properties calculated at the PBE level.

Cell lengths 3.8695, 9.7822, 14.8028 Å; angles 90.00, 90.00, 101.41 degrees
With the nearest neighbours (Å) after each atom.
Atoms (fractional coordinates):
1 K 0.8634 0.7268 0.8040  7 Se 3.26-3.47
2 K 0.1008 0.2017 0.6701  5 Se 3.25-3.41
3 K 0.1366 0.2732 0.3040  7 Se 3.26-3.47
4 K 0.8992 0.7983 0.1701  5 Se 3.25-3.41
5 Ta 0.7718 0.5435 0.5258  3 Se 2.38-2.62
6 Ta 0.2282 0.4565 0.0258  3 Se 2.38-2.62
7 In 0.5614 0.1228 0.9368  4 Se 2.50-2.75
8 In 0.4386 0.8772 0.4368  4 Se 2.50-2.75
9 Se 0.3505 0.7011 0.9974  1 Ta 2.38
10 Se 0.7022 0.4045 0.9035  2 Ta 2.70, 1 In 2.75
11 Se 0.4997 0.9995 0.7878  1 In 2.50
12 Se 0.2776 0.5552 0.6445  2 Ta 2.62
13 Se 0.9259 0.8519 0.5539  2 In 2.61
14 Se 0.6495 0.2989 0.4974  1 Ta 2.38
15 Se 0.2978 0.5955 0.4035  2 Ta 2.70, 1 In 2.75
16 Se 0.5003 0.0005 0.2878  1 In 2.50
17 Se 0.7224 0.4448 0.1445  2 Ta 2.62
18 Se 0.0741 0.1481 0.0539  2 In 2.61

## Properties
Its crystal system is orthorhombic. The calculation puts the density of states at the Fermi level at 0.1666 states/eV per atom. Its space-group type is No. 36. As for the uncorrected formation energy: -0.8508 eV/atom.

***

Record 11
Below is an optimized crystal structure of Ba2HoTl, with properties calculated at the PBE level.

Cell lengths 3.8785, 3.8785, 13.0523 Å; angles 81.46, 81.46, 60.00 degrees
With the nearest neighbours (Å) after each atom.
Atoms (fractional coordinates):
1 Tl 0.5000 0.5000 0.5000  6 Ba 3.60, 6 Tl 3.88
2 Ho 0.0000 0.0000 0.0000  2 Ba 3.61, 6 Ho 3.88
3 Ba 0.0936 0.0936 0.7191  3 Tl 3.60, 1 Ho 3.61, 6 Ba 3.88
4 Ba 0.9064 0.9064 0.2809  3 Tl 3.60, 1 Ho 3.61, 6 Ba 3.88

## Properties
For the formation energy from the elements, the calculation gives 0.217 eV/atom. Its crystal system is trigonal. The calculation puts the density of states at the Fermi level at 1.3123 states/eV per atom. Its space-group type is No. 166.

***

Record 12
Below is an optimized crystal structure of LiCo3Ge5, with properties calculated at the PBE level.

Cell lengths 6.6227, 6.6227, 8.7917 Å; angles 61.72, 61.72, 77.19 degrees
With the nearest neighbours (Å) after each atom.
Atoms (fractional coordinates):
1 Li 0.1039 0.1039 0.6709  3 Co 2.32-2.49
2 Li 0.8961 0.8961 0.3291  3 Co 2.32-2.49
3 Co 0.6721 0.6721 0.8261  6 Ge 2.34-2.38
4 Co 0.6586 0.6586 0.3241  5 Ge 2.28-2.37, 1 Li 2.49
5 Co 0.0000 0.0000 0.0000  4 Ge 2.28-2.32, 2 Li 2.40
6 Co 0.0000 0.0000 0.5000  2 Li 2.32, 4 Ge 2.33
7 Co 0.3279 0.3279 0.1739  6 Ge 2.34-2.38
8 Co 0.3414 0.3414 0.6759  5 Ge 2.28-2.37, 1 Li 2.49
9 Ge 0.9381 0.3886 0.3410  3 Co 2.28-2.34
10 Ge 0.2757 0.7243 0.0000  3 Co 2.28-2.38
11 Ge 0.7772 0.7772 0.9984  3 Co 2.32-2.34
12 Ge 0.4208 0.4208 0.3600  3 Co 2.28-2.37
13 Ge 0.5792 0.5792 0.6400  3 Co 2.28-2.37
14 Ge 0.2228 0.2228 0.0016  3 Co 2.32-2.34
15 Ge 0.3886 0.9381 0.3410  3 Co 2.28-2.34
16 Ge 0.7243 0.2757 0.0000  3 Co 2.28-2.38
17 Ge 0.0619 0.6114 0.6590  3 Co 2.28-2.34
18 Ge 0.6114 0.0619 0.6590  3 Co 2.28-2.34

## Properties
For the formation energy from the elements, the calculation gives -0.032 eV/atom. Its crystal system is monoclinic. The calculation puts the density of states at the Fermi level at 0.4213 states/eV per atom. Its space-group type is No. 12.

***

What is the formula in the second record?
PrZn3Ag3